# 1
Material: NiHg2Rh
Method: DFT, PBE
State: optimized geometry

a = 8.7983 Å, b = 3.1007 Å, c = 5.1774 Å
α = 90.00°, β = 102.88°, γ = 90.00°
Atoms (fractional coordinates):
Ni 0.0000 0.0000 0.0000
Ni 0.5000 0.5000 0.0000
Hg 0.2452 0.5000 0.2426
Hg 0.2547 0.0000 0.7574
Hg 0.7452 0.0000 0.2426
Hg 0.7548 0.5000 0.7574
Rh 0.0000 0.5000 0.5000
Rh 0.5000 0.0000 0.5000

Computed properties:
For the calculated volume, the calculation gives 17.211 Å³ per atom. The relative energy among the computed polymorphs is 44 kJ/mol of formula units. As for the space group: No. 12. The value obtained for the formation energy is 298 meV/atom. For the magnetization, the calculation gives 0.4 μB per cell. The total energy comes out at -25.088 eV per cell.

# 2
Material: Ni2HgRuRh
Method: DFT, PBE
State: optimized geometry

a = 4.6190 Å, b = 4.6190 Å, c = 4.9840 Å
α = 90.00°, β = 90.00°, γ = 90.00°
Atoms (fractional coordinates):
Ni 0.0000 0.5000 0.0000
Ni 0.5000 0.0000 0.0000
Hg 0.0000 0.0000 0.0000
Ru 0.0000 0.0000 0.5000
Rh 0.5000 0.5000 0.5000

Computed properties:
For the calculated volume, the calculation gives 21.266 Å³ per atom. As for the space group: No. 123. The value obtained for the formation energy is 1963 meV/atom. For the magnetization, the calculation gives 4.7 μB per cell. The total energy comes out at -18.678 eV per cell.

# 3
Material: ScNiHgRh
Method: DFT, PBE
State: optimized geometry

a = 6.3987 Å, b = 6.3987 Å, c = 6.3987 Å
α = 90.00°, β = 90.00°, γ = 90.00°
Atoms (fractional coordinates):
Sc 0.0000 0.0000 0.0000
Sc 0.0000 0.5000 0.5000
Sc 0.5000 0.0000 0.5000
Sc 0.5000 0.5000 0.0000
Ni 0.2500 0.2500 0.2500
Ni 0.2500 0.7500 0.7500
Ni 0.7500 0.2500 0.7500
Ni 0.7500 0.7500 0.2500
Hg 0.0000 0.0000 0.5000
Hg 0.0000 0.5000 0.0000
Hg 0.5000 0.0000 0.0000
Hg 0.5000 0.5000 0.5000
Rh 0.2500 0.2500 0.7500
Rh 0.2500 0.7500 0.2500
Rh 0.7500 0.2500 0.2500
Rh 0.7500 0.7500 0.7500

Computed properties:
For the calculated volume, the calculation gives 16.374 Å³ per atom. As for the space group: No. 216. The value obtained for the formation energy is -381 meV/atom. For the magnetization, the calculation gives 0.0 μB per cell. The total energy comes out at -85.168 eV per cell.

# 4
Material: NiHg2Rh2Se6
Method: DFT, PBE
State: optimized geometry

a = 6.3907 Å, b = 6.3907 Å, c = 7.5401 Å
α = 99.90°, β = 99.90°, γ = 119.19°
Atoms (fractional coordinates):
Ni 0.0000 0.0000 0.0000
Hg 0.1752 0.8248 0.5000
Hg 0.8248 0.1752 0.5000
Rh 0.3320 0.6680 0.0000
Rh 0.6680 0.3320 0.0000
Se 0.0716 0.4025 0.1802
Se 0.2454 0.2454 0.8237
Se 0.4025 0.0716 0.1802
Se 0.5975 0.9284 0.8198
Se 0.7546 0.7546 0.1763
Se 0.9284 0.5975 0.8198

Computed properties:
For the calculated volume, the calculation gives 22.984 Å³ per atom. As for the space group: No. 12. As for the uncorrected formation energy: -0.277 eV/atom. For the magnetization, the calculation gives 0.0 μB per cell. The total energy comes out at -45.041 eV per cell.

# 5
Material: TiNiHgRh2
Method: DFT, PBE
State: optimized geometry

a = 4.6124 Å, b = 4.6124 Å, c = 4.2131 Å
α = 90.00°, β = 90.00°, γ = 90.00°
Atoms (fractional coordinates):
Ti 0.0000 0.0000 0.0000
Ni 0.0000 0.0000 0.5000
Hg 0.5000 0.5000 0.0000
Rh 0.0000 0.5000 0.5000
Rh 0.5000 0.0000 0.5000

Computed properties:
For the calculated volume, the calculation gives 17.926 Å³ per atom. As for the space group: No. 123. The value obtained for the formation energy is 525 meV/atom. For the magnetization, the calculation gives 0.0 μB per cell. The total energy comes out at -26.057 eV per cell.

# 6
Material: Y2NiHgRh
Method: DFT, PBE
State: optimized geometry

a = 7.6198 Å, b = 4.0701 Å, c = 7.6209 Å
α = 90.00°, β = 113.60°, γ = 90.00°
Atoms (fractional coordinates):
Y 0.0745 0.2500 0.3411
Y 0.3408 0.7500 0.0736
Y 0.6592 0.2500 0.9264
Y 0.9255 0.7500 0.6589
Ni 0.0461 0.2500 0.9538
Ni 0.9539 0.7500 0.0462
Hg 0.4079 0.7500 0.5933
Hg 0.5921 0.2500 0.4067
Rh 0.2408 0.2500 0.7589
Rh 0.7592 0.7500 0.2411

Computed properties:
For the calculated volume, the calculation gives 21.659 Å³ per atom. As for the space group: No. 11. The value obtained for the formation energy is -531 meV/atom. For the magnetization, the calculation gives 0.0 μB per cell. The total energy comes out at -58.032 eV per cell.

# 7
Material: YNiHgRh
Method: DFT, PBE
State: optimized geometry

a = 6.6080 Å, b = 6.6080 Å, c = 6.6080 Å
α = 90.00°, β = 90.00°, γ = 90.00°
Atoms (fractional coordinates):
Y 0.0000 0.0000 0.0000
Y 0.0000 0.5000 0.5000
Y 0.5000 0.0000 0.5000
Y 0.5000 0.5000 0.0000
Ni 0.2500 0.2500 0.7500
Ni 0.2500 0.7500 0.2500
Ni 0.7500 0.2500 0.2500
Ni 0.7500 0.7500 0.7500
Hg 0.0000 0.0000 0.5000
Hg 0.0000 0.5000 0.0000
Hg 0.5000 0.0000 0.0000
Hg 0.5000 0.5000 0.5000
Rh 0.2500 0.2500 0.2500
Rh 0.2500 0.7500 0.7500
Rh 0.7500 0.2500 0.7500
Rh 0.7500 0.7500 0.2500

Computed properties:
For the calculated volume, the calculation gives 18.034 Å³ per atom. As for the space group: No. 216. The value obtained for the formation energy is -332 meV/atom. For the magnetization, the calculation gives 0.0 μB per cell. The total energy comes out at -84.903 eV per cell.

# 8
Material: ZnNiHgRh
Method: DFT, PBE
State: optimized geometry

a = 6.2205 Å, b = 6.2205 Å, c = 6.2205 Å
α = 90.00°, β = 90.00°, γ = 90.00°
Atoms (fractional coordinates):
Zn 0.0000 0.0000 0.0000
Zn 0.0000 0.5000 0.5000
Zn 0.5000 0.0000 0.5000
Zn 0.5000 0.5000 0.0000
Ni 0.2500 0.2500 0.2500
Ni 0.2500 0.7500 0.7500
Ni 0.7500 0.2500 0.7500
Ni 0.7500 0.7500 0.2500
Hg 0.0000 0.0000 0.5000
Hg 0.0000 0.5000 0.0000
Hg 0.5000 0.0000 0.0000
Hg 0.5000 0.5000 0.5000
Rh 0.2500 0.2500 0.7500
Rh 0.2500 0.7500 0.2500
Rh 0.7500 0.2500 0.2500
Rh 0.7500 0.7500 0.7500

Computed properties:
For the calculated volume, the calculation gives 15.043 Å³ per atom. As for the space group: No. 216. The value obtained for the formation energy is -10 meV/atom. For the magnetization, the calculation gives 0.0 μB per cell. The total energy comes out at -58.997 eV per cell.

# 9
Material: ZrNiHgRh
Method: DFT, PBE
State: optimized geometry

a = 6.4527 Å, b = 6.4527 Å, c = 6.4527 Å
α = 90.00°, β = 90.00°, γ = 90.00°
Atoms (fractional coordinates):
Zr 0.0000 0.0000 0.0000
Zr 0.0000 0.5000 0.5000
Zr 0.5000 0.0000 0.5000
Zr 0.5000 0.5000 0.0000
Ni 0.2500 0.2500 0.7500
Ni 0.2500 0.7500 0.2500
Ni 0.7500 0.2500 0.2500
Ni 0.7500 0.7500 0.7500
Hg 0.0000 0.0000 0.5000
Hg 0.0000 0.5000 0.0000
Hg 0.5000 0.0000 0.0000
Hg 0.5000 0.5000 0.5000
Rh 0.2500 0.2500 0.2500
Rh 0.2500 0.7500 0.7500
Rh 0.7500 0.2500 0.7500
Rh 0.7500 0.7500 0.2500

Computed properties:
For the calculated volume, the calculation gives 16.792 Å³ per atom. As for the space group: No. 216. The value obtained for the formation energy is -320 meV/atom. For the magnetization, the calculation gives 0.0 μB per cell. The total energy comes out at -93.055 eV per cell.

# 10
Material: Ni2HgRu2
Method: DFT, PBE
State: optimized geometry

a = 7.3250 Å, b = 7.3250 Å, c = 2.7227 Å
α = 90.00°, β = 90.00°, γ = 90.00°
Atoms (fractional coordinates):
Ni 0.1634 0.3366 0.0000
Ni 0.3366 0.8366 0.0000
Ni 0.6634 0.1634 0.0000
Ni 0.8366 0.6634 0.0000
Hg 0.0000 0.0000 0.0000
Hg 0.5000 0.5000 0.0000
Ru 0.1281 0.6281 0.5000
Ru 0.3719 0.1281 0.5000
Ru 0.6281 0.8719 0.5000
Ru 0.8719 0.3719 0.5000

Computed properties:
For the calculated volume, the calculation gives 14.609 Å³ per atom. The relative energy among the computed polymorphs is 0 kJ/mol of formula units. As for the space group: No. 127. The value obtained for the formation energy is 435 meV/atom. For the magnetization, the calculation gives 5.2 μB per cell. The total energy comes out at -56.483 eV per cell.

# 11
Material: Ni4HgRu
Method: DFT, PBE
State: optimized geometry

a = 4.7994 Å, b = 4.7994 Å, c = 4.7994 Å
α = 60.00°, β = 60.00°, γ = 60.00°
Atoms (fractional coordinates):
Ni 0.1245 0.1245 0.1245
Ni 0.1245 0.1245 0.6264
Ni 0.1245 0.6264 0.1245
Ni 0.6264 0.1245 0.1245
Hg 0.5000 0.5000 0.5000
Ru 0.7500 0.7500 0.7500

Computed properties:
For the calculated volume, the calculation gives 13.028 Å³ per atom. As for the space group: No. 216. The value obtained for the formation energy is 247 meV/atom. For the magnetization, the calculation gives 3.8 μB per cell. The total energy comes out at -31.219 eV per cell.

# 12
Material: NiHgRu2
Method: DFT, PBE
State: optimized geometry

a = 8.8977 Å, b = 2.8023 Å, c = 4.9027 Å
α = 90.00°, β = 99.61°, γ = 90.00°
Atoms (fractional coordinates):
Ni 0.0000 0.0000 0.0000
Ni 0.5000 0.5000 0.0000
Hg 0.2535 0.5000 0.2411
Hg 0.7535 0.0000 0.2411
Ru 0.0127 0.5000 0.5658
Ru 0.2560 0.0000 0.7424
Ru 0.5127 0.0000 0.5658
Ru 0.7560 0.5000 0.7424

Computed properties:
For the calculated volume, the calculation gives 15.066 Å³ per atom. As for the space group: No. 8. The value obtained for the formation energy is 408 meV/atom. For the magnetization, the calculation gives 0.0 μB per cell. The total energy comes out at -46.008 eV per cell.

# 13
Material: NiHg3Ru
Method: DFT, PBE
State: optimized geometry

a = 4.8600 Å, b = 4.8600 Å, c = 4.8600 Å
α = 90.00°, β = 90.00°, γ = 90.00°
Atoms (fractional coordinates):
Ni 0.0000 0.0000 0.0000
Hg 0.0000 0.0000 0.5000
Hg 0.0000 0.5000 0.0000
Hg 0.5000 0.0000 0.0000
Ru 0.5000 0.5000 0.5000

Computed properties:
For the calculated volume, the calculation gives 22.959 Å³ per atom. The relative energy among the computed polymorphs is 0 kJ/mol of formula units. As for the space group: No. 221. The value obtained for the formation energy is 976 meV/atom. For the magnetization, the calculation gives 2.1 μB per cell. The total energy comes out at -11.080 eV per cell.

# 14
Material: NiHgRu
Method: DFT, PBE
State: optimized geometry

a = 2.8370 Å, b = 2.8370 Å, c = 6.6286 Å
α = 90.00°, β = 90.00°, γ = 120.00°
Atoms (fractional coordinates):
Ni 0.0000 0.0000 0.0000
Hg 0.6667 0.3333 0.6579
Ru 0.3333 0.6667 0.2854

Computed properties:
For the calculated volume, the calculation gives 15.401 Å³ per atom. The relative energy among the computed polymorphs is 17 kJ/mol of formula units. As for the space group: No. 156. The value obtained for the formation energy is 433 meV/atom. For the magnetization, the calculation gives 0.0 μB per cell. The total energy comes out at -14.060 eV per cell.